Entry from Alexandria via LeMat-Bulk: a geometry-optimized Sc3Sb2 structure (PBE-GGA).

Results
SG   C2/m
Total energy   -6.1085 eV/atom

abc: 4.3240 9.1595 10.7403
angles: 100.66 90.00 103.65
Site moments in Bohr magnetons follow the coordinates.
Element x y z (fractional)
Sc1 0.8234 0.6469 0.0447  0.00
Sc2 0.1766 0.3531 0.9553  0.00
Sc3 0.7782 0.5564 0.3918  0.01
Sc4 0.2218 0.4436 0.6082  0.01
Sc5 0.1309 0.2618 0.2852  0.01
Sc6 0.8691 0.7382 0.7148  0.01
Sc7 0.4658 0.9316 0.3383  0.07
Sc8 0.5342 0.0684 0.6617  0.07
Sc9 0.5000 0.0000 0.0000  -0.01
Sb1 0.6279 0.2559 0.4748  0.00
Sb2 0.3721 0.7441 0.5252  0.00
Sb3 0.6748 0.3496 0.1290  0.00
Sb4 0.3252 0.6504 0.8710  0.00
Sb5 0.9742 0.9483 0.1734  0.00
Sb6 0.0258 0.0517 0.8266  0.00